No. 1
A geometry-optimized AcErSiHg structure, computed with PBE-GGA.

Results
- V: 108.2 Å³ per cell
- Final energy: -3.96 eV/atom
- Crystal system: cubic
- Symmetry: F-43m, No. 216

Lattice parameters (Å, degrees): 5.348 5.348 5.348 60.00 60.00 60.00
Element x y z (fractional)
Si 0.250 0.250 0.250
Hg 0.750 0.750 0.750
Er 0.500 0.500 0.500
Ac 0.000 0.000 0.000

No. 2
A geometry-optimized AcErSnHg structure, computed with PBE-GGA.

Results
- V: 119.0 Å³ per cell
- Final energy: -3.74 eV/atom
- Crystal system: cubic
- Symmetry: F-43m, No. 216

Lattice parameters (Å, degrees): 5.522 5.522 5.522 60.00 60.00 60.00
Element x y z (fractional)
Hg 0.750 0.750 0.750
Ac 0.500 0.500 0.500
Er 0.000 0.000 0.000
Sn 0.250 0.250 0.250